# 1
4
Lattice="-0.909 -0.692 4.679 3.058 -2.568 2.694 2.703 2.193 3.329" Properties=species:S:1:pos:R:3 comment="ZrPaRePd | Alexandria | PBE | optimized geometry" mass_density_g_cm3=12.9 formation_energy_kcal_per_mol_atoms=-6.18 vol_a3_per_atom=19.8 pbc="T T T"
Re 0.000 0.000 0.000
Zr 3.639 -0.800 8.026
Pd 2.426 -0.533 5.351
Pa 1.213 -0.267 2.675



# 2
4
Lattice="3.035 0.000 0.000 0.000 3.035 0.000 0.000 0.000 7.788" Properties=species:S:1:pos:R:3 comment="Zn2RuBr | Alexandria | PBE | optimized geometry" raw_formation_energy_mev_per_atom=400 mass_density_g_cm3=7.2 polymorph_energy_ev_per_fu=1.12 vol_a3_per_atom=17.9 pbc="T T T"
Zn 0.000 0.000 7.600
Zn 1.518 1.518 1.496
Br 0.000 0.000 4.346
Ru 1.518 1.518 6.027



# 3
5
Lattice="-2.489 3.014 1.548 -1.625 0.624 -3.827 -7.717 -3.633 0.374" Properties=species:S:1:pos:R:3 comment="In2AgSn2 | Alexandria | PBE | optimized geometry" mass_density_g_cm3=6.7 formation_energy_kcal_per_mol_atoms=5.27 polymorph_energy_ev_per_fu=0.67 vol_a3_per_atom=28.3 pbc="T T T"
Sn -6.132 0.600 0.392
Sn -5.699 -0.595 -2.296
Ag 0.000 0.000 0.000
In -3.106 0.808 -0.859
In -8.725 -0.803 -1.046



# 4
6
Lattice="-0.095 -2.006 4.840 1.368 -4.723 1.812 11.670 2.554 3.350" Properties=species:S:1:pos:R:3 comment="Br2Cl | Alexandria | PBE | optimized geometry" raw_formation_energy_mev_per_atom=76 mass_density_g_cm3=2.6 polymorph_energy_ev_per_fu=0.09 vol_a3_per_atom=42.1 pbc="T T T"
Cl 11.582 0.748 4.927
Cl 8.618 -4.569 8.265
Br 11.400 2.317 3.433
Br 4.297 -3.218 4.964
Br 4.020 -1.546 3.330
Br 8.426 -3.004 6.768



# 5
5
Lattice="-4.480 -1.960 5.199 1.490 -6.858 -1.301 5.353 0.269 4.714" Properties=species:S:1:pos:R:3 comment="RbI3O | Alexandria | PBE | optimized geometry" raw_formation_energy_mev_per_atom=776 mass_density_g_cm3=2.2 polymorph_energy_ev_per_fu=5.47 vol_a3_per_atom=72.7 pbc="T T T"
O 1.182 -4.275 4.306
I -2.240 -0.980 2.600
I 2.676 0.134 2.357
I 0.745 -3.429 -0.651
Rb 0.000 0.000 0.000



# 6
4
Lattice="3.902 0.000 0.000 0.000 2.816 0.449 0.000 1.914 6.059" Properties=species:S:1:pos:R:3 comment="Mg2MnFe | Alexandria | PBE | optimized geometry" mass_density_g_cm3=4.2 formation_energy_kcal_per_mol_atoms=6.78 polymorph_energy_ev_per_fu=0.45 vol_a3_per_atom=15.8 pbc="T T T"
Mn 1.951 1.183 1.627
Fe 1.951 3.548 4.880
Mg 0.000 1.922 6.029
Mg 0.000 2.358 3.283